Record 1
This record from Alexandria describes a relaxed AcTb2SmY6 crystal. The functional is PBE-GGA.

Cell lengths 8.9694, 8.9694, 9.6205 Å; angles 92.88, 92.88, 117.62 degrees
With the nearest neighbours (Å) after each atom.
Element x y z (fractional)
Ac: 0.0306 0.9694 0.7500  4 Tb 3.45-3.57, 4 Y 3.66-3.83
Ac: 0.9694 0.0306 0.2500  4 Tb 3.45-3.57, 4 Y 3.66-3.83
Tb: 0.1981 0.3102 0.5505  6 Y 3.32-3.56, 2 Ac 3.45-3.57, 1 Sm 3.60
Tb: 0.3102 0.1981 0.0505  6 Y 3.32-3.56, 2 Ac 3.45-3.57, 1 Sm 3.60
Tb: 0.6898 0.8019 0.9495  6 Y 3.32-3.56, 2 Ac 3.45-3.57, 1 Sm 3.60
Tb: 0.8019 0.6898 0.4495  6 Y 3.32-3.56, 2 Ac 3.45-3.57, 1 Sm 3.60
Sm: 0.4116 0.5884 0.2500  6 Y 3.48-3.55, 4 Tb 3.60-3.89
Sm: 0.5884 0.4116 0.7500  6 Y 3.48-3.55, 4 Tb 3.60-3.89
Y: 0.0165 0.5578 0.6803  4 Y 3.27-3.65, 2 Tb 3.46-3.52, 1 Sm 3.55
Y: 0.1257 0.7516 0.0580  7 Y 3.45-3.82, 1 Tb 3.56, 1 Ac 3.83
Y: 0.2484 0.8743 0.4420  7 Y 3.45-3.82, 1 Tb 3.56, 1 Ac 3.83
Y: 0.2898 0.5104 0.8862  4 Y 3.27-3.52, 3 Tb 3.32-3.48, 2 Sm 3.48-3.55
Y: 0.4422 0.9835 0.8197  4 Y 3.27-3.65, 2 Tb 3.46-3.52, 1 Sm 3.55
Y: 0.4896 0.7102 0.6138  4 Y 3.27-3.52, 3 Tb 3.32-3.48, 2 Sm 3.48-3.55
Y: 0.5104 0.2898 0.3862  4 Y 3.27-3.52, 3 Tb 3.32-3.48, 2 Sm 3.48-3.55
Y: 0.5578 0.0165 0.1803  4 Y 3.27-3.65, 2 Tb 3.46-3.52, 1 Sm 3.55
Y: 0.7102 0.4896 0.1138  4 Y 3.27-3.52, 3 Tb 3.32-3.48, 2 Sm 3.48-3.55
Y: 0.7516 0.1257 0.5580  7 Y 3.45-3.82, 1 Tb 3.56, 1 Ac 3.83
Y: 0.8743 0.2484 0.9420  7 Y 3.45-3.82, 1 Tb 3.56, 1 Ac 3.83
Y: 0.9835 0.4422 0.3197  4 Y 3.27-3.65, 2 Tb 3.46-3.52, 1 Sm 3.55

Computed properties:
DFT formation energy, meV per atom: 127.2
Symmetry: C2/c
Final energy, eV/atom: -5.560

---

Record 2
This record from Alexandria describes a relaxed AcTbSmY2 crystal. The functional is PBE-GGA.

Cell lengths 7.3419, 7.3419, 7.3527 Å; angles 90.00, 90.00, 108.75 degrees
With the nearest neighbours (Å) after each atom.
Element x y z (fractional)
Ac: 0.2450 0.7550 0.7500  1 Sm 3.35, 2 Tb 3.71
Ac: 0.7550 0.2450 0.2500  1 Sm 3.35, 2 Tb 3.71
Tb: 0.2060 0.7940 0.2500  1 Sm 3.21, 4 Y 3.47
Tb: 0.7940 0.2060 0.7500  1 Sm 3.21, 4 Y 3.47
Sm: 0.4747 0.5253 0.2500  1 Tb 3.21, 4 Y 3.25, 1 Ac 3.35
Sm: 0.5253 0.4747 0.7500  1 Tb 3.21, 4 Y 3.25, 1 Ac 3.35
Y: 0.1893 0.1893 0.0000  1 Y 3.24, 2 Sm 3.25, 2 Tb 3.47
Y: 0.1893 0.1893 0.5000  1 Y 3.24, 2 Sm 3.25, 2 Tb 3.47
Y: 0.8107 0.8107 0.0000  1 Y 3.24, 2 Sm 3.25, 2 Tb 3.47
Y: 0.8107 0.8107 0.5000  1 Y 3.24, 2 Sm 3.25, 2 Tb 3.47

Computed properties:
DFT formation energy, meV per atom: 348.9
Symmetry: Cmcm
Final energy, eV/atom: -4.928

---

Record 3
This record from Alexandria describes a relaxed AcTbSmY3 crystal. The functional is PBE-GGA.

Cell lengths 10.5664, 10.5664, 7.3230 Å; angles 90.10, 90.10, 31.30 degrees
With the nearest neighbours (Å) after each atom.
Element x y z (fractional)
Ac: 0.1438 0.1438 0.4697  1 Tb 3.19, 2 Y 3.35-3.45
Ac: 0.8562 0.8562 0.5303  1 Tb 3.19, 2 Y 3.35-3.45
Tb: 0.1512 0.1512 0.0348  1 Ac 3.19, 6 Y 3.24-3.54
Tb: 0.8488 0.8488 0.9652  1 Ac 3.19, 6 Y 3.24-3.54
Sm: 0.4438 0.4438 0.7917  3 Y 3.27-3.35
Sm: 0.5562 0.5562 0.2083  3 Y 3.27-3.35
Y: 0.0220 0.0220 0.7760  1 Tb 3.24, 2 Sm 3.27, 1 Ac 3.35, 1 Y 3.40
Y: 0.2799 0.2799 0.7501  1 Sm 3.35, 3 Tb 3.35-3.54, 3 Ac 3.45-3.62, 3 Y 3.65-3.70
Y: 0.3355 0.3355 0.2241  2 Tb 3.43, 3 Y 3.65-3.70, 2 Ac 3.65
Y: 0.6645 0.6645 0.7759  2 Tb 3.43, 3 Y 3.65-3.70, 2 Ac 3.65
Y: 0.7201 0.7201 0.2499  1 Sm 3.35, 3 Tb 3.35-3.54, 3 Ac 3.45-3.62, 3 Y 3.65-3.70
Y: 0.9780 0.9780 0.2240  1 Tb 3.24, 2 Sm 3.27, 1 Ac 3.35, 1 Y 3.40

Computed properties:
DFT formation energy, meV per atom: 229.2
Symmetry: C2/m
Final energy, eV/atom: -5.246

---

Record 4
This record from Alexandria describes a relaxed Ac2TbSmY5 crystal. The functional is PBE-GGA.

Cell lengths 10.5257, 10.5257, 10.9820 Å; angles 90.00, 90.00, 147.94 degrees
With the nearest neighbours (Å) after each atom.
Element x y z (fractional)
Ac: 0.1107 0.8893 0.5000  7 Y 3.48-3.81, 1 Sm 3.58, 2 Tb 3.87
Ac: 0.1166 0.8834 0.0889  9 Y 3.42-3.79
Ac: 0.8834 0.1166 0.5889  9 Y 3.42-3.79
Ac: 0.8893 0.1107 0.0000  7 Y 3.48-3.81, 1 Sm 3.58, 2 Tb 3.87
Tb: 0.4153 0.5847 0.2284  5 Y 3.15-3.30
Tb: 0.5847 0.4153 0.7284  5 Y 3.15-3.30
Sm: 0.2045 0.7955 0.7768  2 Ac 3.58-3.86, 8 Y 3.60-3.87, 2 Tb 3.82
Sm: 0.7955 0.2045 0.2768  2 Ac 3.58-3.86, 8 Y 3.60-3.87, 2 Tb 3.82
Y: 0.0198 0.9802 0.7940  2 Tb 3.27, 2 Ac 3.48-3.56
Y: 0.2853 0.7147 0.0707  1 Tb 3.15, 1 Ac 3.42
Y: 0.2982 0.7018 0.4694  3 Y 3.54-3.68, 1 Tb 3.55, 3 Sm 3.60-3.87, 3 Ac 3.62-3.81
Y: 0.3941 0.6059 0.7898  5 Y 3.49-3.86, 4 Ac 3.66-3.71, 1 Sm 3.84
Y: 0.4790 0.5210 0.5047  2 Tb 3.26-3.30, 2 Y 3.49-3.57, 2 Ac 3.61
Y: 0.5210 0.4790 0.0047  2 Tb 3.26-3.30, 2 Y 3.49-3.57, 2 Ac 3.61
Y: 0.6059 0.3941 0.2898  5 Y 3.49-3.86, 4 Ac 3.66-3.71, 1 Sm 3.84
Y: 0.7018 0.2982 0.9694  3 Y 3.54-3.68, 1 Tb 3.55, 3 Sm 3.60-3.87, 3 Ac 3.62-3.81
Y: 0.7147 0.2853 0.5707  1 Tb 3.15, 1 Ac 3.42
Y: 0.9802 0.0198 0.2940  2 Tb 3.27, 2 Ac 3.48-3.56

Computed properties:
DFT formation energy, meV per atom: 150.9
Symmetry: Cmc2_1
Final energy, eV/atom: -5.392